[1]
BaGa3Ge | PBE-GGA | relaxed

The structure in CIF format:
```
data_BaGa3Ge
_space_group_name_H-M_alt 'P 1'
_space_group_IT_number 1
_cell_length_a 5.8482
_cell_length_b 5.8482
_cell_length_c 5.8482
_cell_angle_alpha 90.00
_cell_angle_beta 90.00
_cell_angle_gamma 90.00
loop_
_space_group_symop_operation_xyz
'x,y,z'
loop_
_atom_site_label
_atom_site_type_symbol
_atom_site_fract_x
_atom_site_fract_y
_atom_site_fract_z
Ba1 Ba 0.0000 0.0000 0.0000
Ga1 Ga 0.0000 0.0000 0.5000
Ga2 Ga 0.0000 0.5000 0.0000
Ga3 Ga 0.5000 0.0000 0.0000
Ge1 Ge 0.5000 0.5000 0.5000
```

Output
Formation enthalpy at 0 K (eV/atom): 1.139
Density of states at the Fermi level (states/eV/f.u.): 3.4
Crystal system: cubic
Space group: Pm-3m, No. 221

=====

[2]
CdNiW2 | PBE-GGA | relaxed

The structure in CIF format:
```
data_CdNiW2
_space_group_name_H-M_alt 'P 1'
_space_group_IT_number 1
_cell_length_a 2.6957
_cell_length_b 4.3018
_cell_length_c 5.5597
_cell_angle_alpha 90.00
_cell_angle_beta 98.87
_cell_angle_gamma 90.00
loop_
_space_group_symop_operation_xyz
'x,y,z'
loop_
_atom_site_label
_atom_site_type_symbol
_atom_site_fract_x
_atom_site_fract_y
_atom_site_fract_z
Cd1 Cd 0.0000 0.0000 0.0000
Ni1 Ni 0.0153 0.5000 0.2655
W1 W 0.4023 0.5000 0.7267
W2 W 0.6280 0.0000 0.4815
```

Output
Formation enthalpy at 0 K (eV/atom): 0.411
Density of states at the Fermi level (states/eV/f.u.): 2.6
Crystal system: monoclinic
Space group: Pm, No. 6

=====

[3]
Pm2BeGa3Cu12 | PBE-GGA | relaxed

The structure in CIF format:
```
data_Pm2BeGa3Cu12
_space_group_name_H-M_alt 'P 1'
_space_group_IT_number 1
_cell_length_a 11.0273
_cell_length_b 11.0273
_cell_length_c 11.0273
_cell_angle_alpha 29.45
_cell_angle_beta 29.45
_cell_angle_gamma 29.45
loop_
_space_group_symop_operation_xyz
'x,y,z'
loop_
_atom_site_label
_atom_site_type_symbol
_atom_site_fract_x
_atom_site_fract_y
_atom_site_fract_z
Pm1 Pm 0.1449 0.1449 0.1449
Pm2 Pm 0.8551 0.8551 0.8551
Be1 Be 0.5000 0.5000 0.5000
Ga1 Ga 0.0000 0.5000 0.5000
Ga2 Ga 0.5000 0.0000 0.5000
Ga3 Ga 0.5000 0.5000 0.0000
Cu1 Cu 0.0916 0.0916 0.6480
Cu2 Cu 0.0916 0.6480 0.0916
Cu3 Cu 0.1377 0.5955 0.5955
Cu4 Cu 0.3520 0.9084 0.9084
Cu5 Cu 0.4045 0.4045 0.8623
Cu6 Cu 0.4045 0.8623 0.4045
Cu7 Cu 0.5955 0.1377 0.5955
Cu8 Cu 0.5955 0.5955 0.1377
Cu9 Cu 0.6480 0.0916 0.0916
Cu10 Cu 0.8623 0.4045 0.4045
Cu11 Cu 0.9084 0.3520 0.9084
Cu12 Cu 0.9084 0.9084 0.3520
```

Output
Formation enthalpy at 0 K (eV/atom): 0.086
Density of states at the Fermi level (states/eV/f.u.): 10.3
Crystal system: trigonal
Space group: R-3m, No. 166

=====

[4]
MgCu2Ir | PBE-GGA | relaxed

The structure in CIF format:
```
data_MgCu2Ir
_space_group_name_H-M_alt 'P 1'
_space_group_IT_number 1
_cell_length_a 2.6842
_cell_length_b 2.6842
_cell_length_c 8.7483
_cell_angle_alpha 90.00
_cell_angle_beta 90.00
_cell_angle_gamma 114.75
loop_
_space_group_symop_operation_xyz
'x,y,z'
loop_
_atom_site_label
_atom_site_type_symbol
_atom_site_fract_x
_atom_site_fract_y
_atom_site_fract_z
Mg1 Mg 0.0000 0.0000 0.0000
Cu1 Cu 0.5000 0.5000 0.2520
Cu2 Cu 0.5000 0.5000 0.7480
Ir1 Ir 0.0000 0.0000 0.5000
```

Output
Formation enthalpy at 0 K (eV/atom): 0.167
Density of states at the Fermi level (states/eV/f.u.): 2.4
Crystal system: orthorhombic
Space group: Cmmm, No. 65

=====

[5]
CuAgAu2Se4 | PBE-GGA | relaxed

The structure in CIF format:
```
data_CuAgAu2Se4
_space_group_name_H-M_alt 'P 1'
_space_group_IT_number 1
_cell_length_a 6.3282
_cell_length_b 6.3282
_cell_length_c 6.3282
_cell_angle_alpha 129.31
_cell_angle_beta 109.81
_cell_angle_gamma 91.58
loop_
_space_group_symop_operation_xyz
'x,y,z'
loop_
_atom_site_label
_atom_site_type_symbol
_atom_site_fract_x
_atom_site_fract_y
_atom_site_fract_z
Cu1 Cu 0.0000 0.0000 0.0000
Ag1 Ag 0.0000 0.5000 0.5000
Au1 Au 0.5000 0.2492 0.7492
Au2 Au 0.5000 0.7508 0.2508
Se1 Se 0.0586 0.6216 0.0176
Se2 Se 0.3960 0.3784 0.4370
Se3 Se 0.6040 0.0411 0.9824
Se4 Se 0.9414 0.9589 0.5630
```

Output
Density of states at the Fermi level (states/eV/f.u.): 1.1
Crystal system: orthorhombic
Formation energy without anion corrections (eV per atom): 0.0359
Space group: I222, No. 23

=====

[6]
Ti2VAu | PBE-GGA | relaxed

The structure in CIF format:
```
data_Ti2VAu
_space_group_name_H-M_alt 'P 1'
_space_group_IT_number 1
_cell_length_a 4.4817
_cell_length_b 4.4817
_cell_length_c 4.4817
_cell_angle_alpha 60.00
_cell_angle_beta 60.00
_cell_angle_gamma 60.00
loop_
_space_group_symop_operation_xyz
'x,y,z'
loop_
_atom_site_label
_atom_site_type_symbol
_atom_site_fract_x
_atom_site_fract_y
_atom_site_fract_z
Ti1 Ti 0.2500 0.2500 0.2500
Ti2 Ti 0.7500 0.7500 0.7500
V1 V 0.0000 0.0000 0.0000
Au1 Au 0.5000 0.5000 0.5000
```

Output
Formation enthalpy at 0 K (eV/atom): -0.126
Density of states at the Fermi level (states/eV/f.u.): 4.0
Crystal system: cubic
Space group: Fm-3m, No. 225

=====

[7]
Na2Nb3Se6 | PBE-GGA | relaxed

The structure in CIF format:
```
data_Na2Nb3Se6
_space_group_name_H-M_alt 'P 1'
_space_group_IT_number 1
_cell_length_a 3.5553
_cell_length_b 3.5553
_cell_length_c 44.9517
_cell_angle_alpha 90.00
_cell_angle_beta 90.00
_cell_angle_gamma 120.00
loop_
_space_group_symop_operation_xyz
'x,y,z'
loop_
_atom_site_label
_atom_site_type_symbol
_atom_site_fract_x
_atom_site_fract_y
_atom_site_fract_z
Na1 Na 0.0000 0.0000 0.0000
Na2 Na 0.0000 0.0000 0.1695
Na3 Na 0.0000 0.0000 0.3390
Na4 Na 0.0000 0.0000 0.6676
Nb1 Nb 0.0000 0.0000 0.0850
Nb2 Nb 0.0000 0.0000 0.4233
Nb3 Nb 0.0000 0.0000 0.7526
Nb4 Nb 0.3333 0.6667 0.2540
Nb5 Nb 0.3333 0.6667 0.5826
Nb6 Nb 0.3333 0.6667 0.9156
Se1 Se 0.6667 0.3333 0.0481
Se2 Se 0.6667 0.3333 0.1219
Se3 Se 0.6667 0.3333 0.2171
Se4 Se 0.6667 0.3333 0.2909
Se5 Se 0.6667 0.3333 0.3861
Se6 Se 0.6667 0.3333 0.4595
Se7 Se 0.6667 0.3333 0.5464
Se8 Se 0.6667 0.3333 0.6198
Se9 Se 0.6667 0.3333 0.7153
Se10 Se 0.6667 0.3333 0.7888
Se11 Se 0.6667 0.3333 0.8794
Se12 Se 0.6667 0.3333 0.9529
```

Output
Density of states at the Fermi level (states/eV/f.u.): 4.7
Crystal system: trigonal
Formation energy without anion corrections (eV per atom): -0.9632
Space group: P3m1, No. 156

=====

[8]
MnOsSe | PBE-GGA | relaxed

The structure in CIF format:
```
data_MnOsSe
_space_group_name_H-M_alt 'P 1'
_space_group_IT_number 1
_cell_length_a 2.9779
_cell_length_b 2.9837
_cell_length_c 5.3759
_cell_angle_alpha 90.00
_cell_angle_beta 90.00
_cell_angle_gamma 90.00
loop_
_space_group_symop_operation_xyz
'x,y,z'
loop_
_atom_site_label
_atom_site_type_symbol
_atom_site_fract_x
_atom_site_fract_y
_atom_site_fract_z
Mn1 Mn 0.0000 0.0000 0.0000
Os1 Os 0.5000 0.5000 0.7308
Se1 Se 0.0000 0.5000 0.3583
```

Output
Density of states at the Fermi level (states/eV/f.u.): 2.7
Crystal system: orthorhombic
Formation energy without anion corrections (eV per atom): 0.3034
Space group: Pmm2, No. 25

=====

[9]
ZrTcRh | PBE-GGA | relaxed

The structure in CIF format:
```
data_ZrTcRh
_space_group_name_H-M_alt 'P 1'
_space_group_IT_number 1
_cell_length_a 4.3570
_cell_length_b 4.3570
_cell_length_c 4.3570
_cell_angle_alpha 60.00
_cell_angle_beta 60.00
_cell_angle_gamma 60.00
loop_
_space_group_symop_operation_xyz
'x,y,z'
loop_
_atom_site_label
_atom_site_type_symbol
_atom_site_fract_x
_atom_site_fract_y
_atom_site_fract_z
Zr1 Zr 0.0000 0.0000 0.0000
Tc1 Tc 0.5000 0.5000 0.5000
Rh1 Rh 0.2500 0.2500 0.2500
```

Output
Formation enthalpy at 0 K (eV/atom): 0.212
Density of states at the Fermi level (states/eV/f.u.): 5.1
Crystal system: cubic
Space group: F-43m, No. 216

=====

[10]
RbCa2CdPd | PBE-GGA | relaxed

The structure in CIF format:
```
data_RbCa2CdPd
_space_group_name_H-M_alt 'P 1'
_space_group_IT_number 1
_cell_length_a 5.6666
_cell_length_b 5.6666
_cell_length_c 5.5383
_cell_angle_alpha 90.00
_cell_angle_beta 90.00
_cell_angle_gamma 90.00
loop_
_space_group_symop_operation_xyz
'x,y,z'
loop_
_atom_site_label
_atom_site_type_symbol
_atom_site_fract_x
_atom_site_fract_y
_atom_site_fract_z
Rb1 Rb 0.0000 0.0000 0.0000
Ca1 Ca 0.0000 0.5000 0.5000
Ca2 Ca 0.5000 0.0000 0.5000
Cd1 Cd 0.5000 0.5000 0.0000
Pd1 Pd 0.5000 0.5000 0.5000
```

Output
Formation enthalpy at 0 K (eV/atom): -0.227
Density of states at the Fermi level (states/eV/f.u.): 2.6
Crystal system: tetragonal
Space group: P4/mmm, No. 123